Np2Be3Si4Pd after structural relaxation. Source: the Alexandria database, functional PBE.

Total magnetic moment   7.75 Bohr magnetons per cell
Space-group type   P-4m2, No. 115
E_form (uncorrected)   -0.297 eV per atom

Lattice parameters (Å, degrees): 3.907 3.907 9.760 90.00 90.00 90.00
Element x y z (fractional)
1 Np 0.000 0.500 0.236
2 Np 0.500 0.000 0.764
3 Be 0.000 0.500 0.873
4 Be 0.500 0.000 0.127
5 Be 0.500 0.500 0.500
6 Si 0.000 0.000 0.000
7 Si 0.000 0.500 0.645
8 Si 0.500 0.000 0.355
9 Si 0.500 0.500 0.000
10 Pd 0.000 0.000 0.500



Nd19Er4Tm6 after structural relaxation. Source: the Alexandria database, functional PBE.

Energy of formation   366.3 meV/atom
Total magnetic moment   0.00 Bohr magnetons per cell
Space-group type   I23, No. 197

Lattice parameters (Å, degrees): 10.974 10.974 10.974 109.47 109.47 109.47
Element x y z (fractional)
1 Nd 0.000 0.000 0.000
2 Nd 0.000 0.262 0.262
3 Nd 0.000 0.738 0.738
4 Nd 0.017 0.218 0.674
5 Nd 0.201 0.983 0.657
6 Nd 0.218 0.674 0.017
7 Nd 0.262 0.000 0.262
8 Nd 0.262 0.262 0.000
9 Nd 0.326 0.544 0.343
10 Nd 0.343 0.326 0.544
11 Nd 0.456 0.782 0.799
12 Nd 0.544 0.343 0.326
13 Nd 0.657 0.201 0.983
14 Nd 0.674 0.017 0.218
15 Nd 0.738 0.000 0.738
16 Nd 0.738 0.738 0.000
17 Nd 0.782 0.799 0.456
18 Nd 0.799 0.456 0.782
19 Nd 0.983 0.657 0.201
20 Er 0.000 0.000 0.359
21 Er 0.000 0.359 0.000
22 Er 0.359 0.000 0.000
23 Er 0.641 0.641 0.641
24 Tm 0.125 0.500 0.625
25 Tm 0.375 0.875 0.500
26 Tm 0.500 0.375 0.875
27 Tm 0.500 0.625 0.125
28 Tm 0.625 0.125 0.500
29 Tm 0.875 0.500 0.375



Among the records above, which one has the lowest total magnetic moment? Nd19Er4Tm6



What is the total magnetic moment in the first record? 7.75 Bohr magnetons per cell



Among the records above, which one has the lowest total magnetic moment? Nd19Er4Tm6



Which value of total magnetic moment does entry 1 give? 7.75 Bohr magnetons per cell